Here is crystalline HfTiSeS at its relaxed geometry from the Alexandria database. Energies are from PBE.

Cell: 3.423 3.423 7.702 Å, 77.16 77.16 60.00°
Positions (direct):
1 Se 0.309 0.309 0.072
2 S 0.168 0.168 0.496
3 Hf 0.427 0.427 0.718
4 Ti 0.902 0.902 0.294

Calculated values
ΔE_f (raw)   -975.3 meV per atom
Magnetic moment   0.00 μB/cell